Entry from Alexandria: crystalline LiTb5Se8 at its relaxed geometry (GGA-PBE).

CIF file:
```
data_LiTb5Se8
_chemical_formula_sum 'Li2 Tb10 Se16'
_cell_length_a 8.6760
_cell_length_b 8.6760
_cell_length_c 8.7738
_cell_angle_alpha 90.00
_cell_angle_beta 90.00
_cell_angle_gamma 90.00
_symmetry_space_group_name_H-M 'I -4'
_symmetry_Int_Tables_number 82
_symmetry_space_group_name_Hall 'I -4'
loop_
_atom_site_label
_atom_site_type_symbol
_atom_site_fract_x
_atom_site_fract_y
_atom_site_fract_z
Li1 Li 0.0000 0.0000 0.0000
Tb1 Tb 0.0000 0.5000 0.7500
Tb2 Tb 0.1280 0.7457 0.3716
Se1 Se 0.0710 0.6833 0.0498
Se2 Se 0.0720 0.8180 0.6868
```

Computed properties:
Its raw total energy is -5.581 eV per atom. The formation energy without anion corrections is -25.19 eV per formula unit.